No. 1
First-principles (PBE) data for a relaxed structure of Nd2TmSc8, as listed in Alexandria.

Computed properties:
The energy relative to the elements is 0.16 eV/atom. For the electronic total energy, the calculation gives -5.723 eV per atom.

abc: 8.6385 15.2540 5.5354
angles: 90.00 124.75 90.00
Last column: nearest neighbours and their distance in Å.
Space group C2/m (No. 12)
Symmetry-distinct sites (fractional):
1 Nd 0.0000 0.1942 0.0000  8 Sc 3.16-3.38
2 Tm 0.0000 0.5000 0.5000  4 Sc 3.14-3.30
3 Sc 0.0000 0.2939 0.5000  1 Tm 3.14, 2 Nd 3.16, 6 Sc 3.41-3.48
4 Sc 0.0582 0.0000 0.2919  4 Sc 2.78-2.99
5 Sc 0.2130 0.3842 0.1814  3 Sc 2.99-3.21, 1 Nd 3.27



No. 2
First-principles (PBE) data for a relaxed structure of BRuPtAu2, as listed in Alexandria.

Computed properties:
The energy relative to the elements is 2.02 eV/atom. For the electronic total energy, the calculation gives -3.687 eV per atom.

abc: 5.1149 5.1149 4.7294
angles: 90.00 90.00 90.00
Last column: nearest neighbours and their distance in Å.
Space group P4/mmm (No. 123)
Symmetry-distinct sites (fractional):
1 B 0.0000 0.0000 0.0000  8 Au 3.48, 4 Ru 3.62
2 Ru 0.5000 0.5000 0.0000  2 Pt 2.36
3 Pt 0.5000 0.5000 0.5000  2 Ru 2.36, 4 Au 2.56
4 Au 0.0000 0.5000 0.5000  2 Pt 2.56



No. 3
First-principles (PBE) data for a relaxed structure of FeSbOs, as listed in Alexandria.

Computed properties:
The formation energy without anion corrections comes out at 55.4 kJ/mol of atoms. For the energy above the most stable polymorph in this dataset, the calculation gives 316 meV per atom. For the electronic total energy, the calculation gives -7.365 eV per atom.

abc: 4.2873 4.2873 2.9709
angles: 90.00 90.00 120.00
Last column: nearest neighbours and their distance in Å.
Space group P3m1 (No. 156)
Symmetry-distinct sites (fractional):
1 Fe 0.0000 0.0000 0.0000  3 Sb 2.55, 3 Os 2.79
2 Sb 0.3333 0.6667 0.7891  3 Fe 2.55, 3 Os 2.69
3 Os 0.6667 0.3333 0.4368  3 Sb 2.69, 6 Fe 2.79-2.99, 2 Os 2.97



No. 4
First-principles (PBE) data for a relaxed structure of Tm2ZnGa3, as listed in Alexandria.

Computed properties:
The energy relative to the elements is -0.58 eV/atom. For the electronic total energy, the calculation gives -3.792 eV per atom.

abc: 7.0989 8.7796 15.0853
angles: 90.00 90.00 90.00
Last column: nearest neighbours and their distance in Å.
Space group Fmmm (No. 69)
Symmetry-distinct sites (fractional):
1 Tm 0.2493 0.0000 0.0000  2 Zn 3.08, 10 Ga 3.08-3.10
2 Tm 0.2500 0.2500 0.2500  8 Ga 3.07-3.09, 4 Zn 3.09
3 Zn 0.0000 0.0000 0.3334  3 Ga 2.51
4 Ga 0.0000 0.0000 0.1673  1 Zn 2.51, 2 Ga 2.54
5 Ga 0.0000 0.2484 0.4160  1 Zn 2.51, 2 Ga 2.53-2.54



No. 5
First-principles (PBE) data for a relaxed structure of Nd2ZnNi4Ge3, as listed in Alexandria.

Computed properties:
The energy relative to the elements is -0.63 eV/atom. For the electronic total energy, the calculation gives -5.407 eV per atom.

abc: 4.1564 4.1564 9.7488
angles: 90.00 90.00 90.00
Last column: nearest neighbours and their distance in Å.
Space group P-4m2 (No. 115)
Symmetry-distinct sites (fractional):
1 Nd 0.0000 0.5000 0.2485  6 Ge 3.17-3.21, 8 Ni 3.17-3.19, 2 Zn 3.21
2 Zn 0.0000 0.0000 0.5000  4 Ni 2.43
3 Ni 0.0000 0.0000 0.0000  4 Ge 2.42
4 Ni 0.0000 0.5000 0.6293  3 Ge 2.38-2.43, 2 Zn 2.43
5 Ni 0.5000 0.5000 0.0000  4 Ge 2.42
6 Ge 0.0000 0.5000 0.8731  5 Ni 2.38-2.42
7 Ge 0.5000 0.5000 0.5000  4 Ni 2.43



No. 6
First-principles (PBE) data for a relaxed structure of MnTlFePb2, as listed in Alexandria.

Computed properties:
The energy relative to the elements is 1.52 eV/atom. For the electronic total energy, the calculation gives -3.962 eV per atom.

abc: 5.7520 5.7520 4.8994
angles: 90.00 90.00 90.00
Last column: nearest neighbours and their distance in Å.
Space group P4/mmm (No. 123)
Symmetry-distinct sites (fractional):
1 Mn 0.0000 0.0000 0.0000  8 Pb 3.78, 4 Fe 4.07
2 Tl 0.5000 0.5000 0.5000  2 Fe 2.45
3 Fe 0.5000 0.5000 0.0000  2 Tl 2.45
4 Pb 0.0000 0.5000 0.5000  2 Tl 2.88



No. 7
First-principles (PBE) data for a relaxed structure of Sr5Li2Cl12, as listed in Alexandria.

Computed properties:
The formation energy without anion corrections comes out at -223.5 kJ/mol of atoms. For the energy above the most stable polymorph in this dataset, the calculation gives 0 meV per atom. For the electronic total energy, the calculation gives -4.127 eV per atom.

abc: 16.1358 7.4460 9.3119
angles: 90.00 106.81 90.00
Last column: nearest neighbours and their distance in Å.
Space group C2/m (No. 12)
Symmetry-distinct sites (fractional):
1 Sr 0.0000 0.0000 0.0000  6 Cl 2.82-3.02
2 Sr 0.1847 0.5000 0.3472  7 Cl 2.88-3.09
3 Sr 0.1857 0.5000 0.8409  7 Cl 2.90-3.09
4 Li 0.0000 0.2224 0.5000  4 Cl 2.48-2.62
5 Cl 0.9998 0.5000 0.2981  2 Li 2.79, 2 Sr 2.88-2.90
6 Cl 0.0042 0.0000 0.3047  2 Li 2.48
7 Cl 0.1545 0.2496 0.0727  4 Sr 3.00-3.09
8 Cl 0.1687 0.2558 0.5900  1 Li 2.62, 1 Sr 2.91



No. 8
First-principles (PBE) data for a relaxed structure of TlRe2C, as listed in Alexandria.

Computed properties:
The energy relative to the elements is 2.16 eV/atom. For the energy above the most stable polymorph in this dataset, the calculation gives 873 meV per atom. For the electronic total energy, the calculation gives -6.965 eV per atom.

abc: 6.1751 6.1751 6.1751
angles: 90.00 90.00 90.00
Last column: nearest neighbours and their distance in Å.
Space group Fm-3m (No. 225)
Symmetry-distinct sites (fractional):
1 Tl 0.0000 0.0000 0.0000  8 Re 2.67
2 Re 0.2500 0.2500 0.2500  4 Tl 2.67, 4 C 2.67
3 C 0.0000 0.0000 0.5000  8 Re 2.67



No. 9
First-principles (PBE) data for a relaxed structure of MnSn3Au, as listed in Alexandria.

Computed properties:
The energy relative to the elements is 0.88 eV/atom. For the energy above the most stable polymorph in this dataset, the calculation gives 741 meV per atom. For the electronic total energy, the calculation gives -4.010 eV per atom.

abc: 5.8488 5.8488 5.8488
angles: 90.00 90.00 90.00
Last column: nearest neighbours and their distance in Å.
Space group Pm-3m (No. 221)
Symmetry-distinct sites (fractional):
1 Mn 0.0000 0.0000 0.0000  12 Sn 4.14
2 Sn 0.0000 0.5000 0.5000  2 Au 2.92
3 Au 0.5000 0.5000 0.5000  6 Sn 2.92



No. 10
First-principles (PBE) data for a relaxed structure of Na2Bi5Pb5, as listed in Alexandria.

Computed properties:
The energy relative to the elements is -0.01 eV/atom. For the electronic total energy, the calculation gives -3.394 eV per atom.

abc: 13.8512 4.4094 14.2373
angles: 90.00 111.60 90.00
Last column: nearest neighbours and their distance in Å.
Space group C2/m (No. 12)
Symmetry-distinct sites (fractional):
1 Na 0.1897 0.0000 0.2014  4 Bi 3.09-3.34
2 Bi 0.0000 0.0000 0.0000  2 Na 3.09, 4 Pb 3.25
3 Bi 0.1214 0.0000 0.7490  5 Pb 3.15-3.49, 2 Na 3.29
4 Bi 0.2001 0.5000 0.5471  2 Bi 3.15, 1 Na 3.34, 3 Pb 3.35-3.41
5 Pb 0.0000 0.0000 0.5000  6 Bi 3.32-3.41
6 Pb 0.0527 0.5000 0.3001  3 Bi 3.15-3.35, 2 Na 3.52
7 Pb 0.1444 0.5000 0.9461  4 Bi 3.25-3.49, 3 Pb 3.53-3.56, 1 Na 3.64



No. 11
First-principles (PBE) data for a relaxed structure of CsCd2Bi3, as listed in Alexandria.

Computed properties:
The energy relative to the elements is -0.09 eV/atom. For the energy above the most stable polymorph in this dataset, the calculation gives 17 meV per atom. For the electronic total energy, the calculation gives -2.480 eV per atom.

abc: 14.0897 11.0229 5.9689
angles: 90.00 90.00 90.00
Last column: nearest neighbours and their distance in Å.
Space group Cmcm (No. 63)
Symmetry-distinct sites (fractional):
1 Cs 0.0000 0.1768 0.2500  9 Bi 4.15-4.27
2 Cd 0.2025 0.5000 0.0000  2 Cd 2.98, 4 Bi 3.15-3.29
3 Bi 0.0000 0.4384 0.7500  2 Bi 3.28, 4 Cd 3.29
4 Bi 0.2069 0.2235 0.7500  4 Cd 3.15-3.39, 2 Bi 3.28



No. 12
First-principles (PBE) data for a relaxed structure of AgHPd2W, as listed in Alexandria.

Computed properties:
For the electronic total energy, the calculation gives -4.094 eV per atom.

abc: 4.8124 4.8124 5.2725
angles: 90.00 90.00 90.00
Last column: nearest neighbours and their distance in Å.
Space group P4/mmm (No. 123)
Symmetry-distinct sites (fractional):
1 Ag 0.0000 0.0000 0.0000  2 W 2.64
2 H 0.5000 0.5000 0.0000  4 Ag 3.40, 8 Pd 3.57
3 Pd 0.0000 0.5000 0.5000  2 W 2.41
4 W 0.0000 0.0000 0.5000  4 Pd 2.41, 2 Ag 2.64